# 1
The following is a PBE-GGA calculation of a geometry-optimized AlFe2As structure, from Alexandria via LeMat-Bulk.

a = 4.297 Å, b = 2.800 Å, c = 4.665 Å
α = 72.62°, β = 90.00°, γ = 90.00°
Sites, in units of the cell vectors:
As: 0.500 0.922 0.780
Fe: 0.000 0.819 0.987
Fe: 0.500 0.201 0.225
Al: 0.000 0.557 0.508

Values from the calculation:
Size of the total moment in μB/f.u.: 3.18
Formation energy in eV per atom: 0.005


# 2
The following is a PBE-GGA calculation of a geometry-optimized Pu8IrRu2 structure, from Alexandria via LeMat-Bulk.

a = 5.261 Å, b = 6.284 Å, c = 7.503 Å
α = 108.78°, β = 110.52°, γ = 90.00°
Sites, in units of the cell vectors:
Pu: 0.367 0.551 0.734
Pu: 0.669 0.879 0.338
Pu: 0.847 0.859 0.693
Pu: 0.995 0.264 0.991
Pu: 0.153 0.141 0.307
Pu: 0.331 0.121 0.662
Pu: 0.633 0.449 0.266
Pu: 0.005 0.736 0.009
Ir: 0.500 0.000 0.000
Ru: 0.807 0.334 0.614
Ru: 0.193 0.666 0.386

Values from the calculation:
Size of the total moment in μB/f.u.: 0.53
Formation energy in eV per atom: -0.061


# 3
The following is a PBE-GGA calculation of a geometry-optimized Sm2ThTc structure, from Alexandria via LeMat-Bulk.

a = 3.411 Å, b = 3.411 Å, c = 11.256 Å
α = 81.28°, β = 81.28°, γ = 60.00°
Sites, in units of the cell vectors:
Sm: 0.077 0.077 0.770
Sm: 0.923 0.923 0.230
Th: 0.500 0.500 0.500
Tc: 0.000 0.000 0.000

Values from the calculation:
Size of the total moment in μB/f.u.: 0.00
Formation energy in eV per atom: 0.667


# 4
The following is a PBE-GGA calculation of a geometry-optimized Pm2GaC2 structure, from Alexandria via LeMat-Bulk.

a = 7.601 Å, b = 7.571 Å, c = 4.196 Å
α = 75.51°, β = 88.66°, γ = 28.67°
Sites, in units of the cell vectors:
Pm: 0.287 0.998 0.286
Pm: 0.713 0.002 0.714
Ga: 0.500 0.500 0.000
C: 0.058 0.394 0.664
C: 0.942 0.606 0.336

Values from the calculation:
Size of the total moment in μB/f.u.: 0.00
Formation energy in eV per atom: -0.273


# 5
The following is a PBE-GGA calculation of a geometry-optimized Cr2Rh structure, from Alexandria via LeMat-Bulk.

a = 4.578 Å, b = 4.578 Å, c = 4.578 Å
α = 147.03°, β = 132.98°, γ = 58.62°
Sites, in units of the cell vectors:
Cr: 0.669 0.669 0.000
Cr: 0.331 0.331 0.000
Rh: 0.000 0.000 0.000

Values from the calculation:
Size of the total moment in μB/f.u.: 0.00
Formation energy in eV per atom: 0.116


# 6
The following is a PBE-GGA calculation of a geometry-optimized AcCuCl2 structure, from Alexandria via LeMat-Bulk.

a = 3.958 Å, b = 3.958 Å, c = 8.600 Å
α = 76.70°, β = 76.70°, γ = 60.00°
Sites, in units of the cell vectors:
Ac: 0.000 0.000 0.000
Cu: 0.500 0.500 0.500
Cl: 0.116 0.116 0.652
Cl: 0.884 0.884 0.348

Values from the calculation:
Size of the total moment in μB/f.u.: 0.00
Formation energy without anion corrections in meV per atom: -719


# 7
The following is a PBE-GGA calculation of a geometry-optimized ZrAl2ZnCr structure, from Alexandria via LeMat-Bulk.

a = 5.290 Å, b = 4.505 Å, c = 5.290 Å
α = 90.00°, β = 90.00°, γ = 90.00°
Sites, in units of the cell vectors:
Cr: 0.000 0.500 0.000
Zn: 0.500 0.500 0.500
Al: 0.000 0.000 0.500
Al: 0.500 0.000 0.000
Zr: 0.000 0.000 0.000

Values from the calculation:
Size of the total moment in μB/f.u.: 0.18
Formation energy in eV per atom: 1.367


# 8
The following is a PBE-GGA calculation of a geometry-optimized Nb2TeAu structure, from Alexandria via LeMat-Bulk.

a = 6.045 Å, b = 6.045 Å, c = 7.566 Å
α = 66.45°, β = 66.45°, γ = 90.00°
Sites, in units of the cell vectors:
Nb: 0.654 0.125 0.250
Nb: 0.096 0.625 0.250
Nb: 0.375 0.346 0.750
Nb: 0.875 0.904 0.750
Te: 0.500 0.500 0.000
Te: 0.250 0.750 0.500
Au: 0.000 0.000 0.000
Au: 0.750 0.250 0.500

Values from the calculation:
Size of the total moment in μB/f.u.: 0.00
Formation energy without anion corrections in meV per atom: 813